No. 1
# Ce2ZnRu3 (PBE, relaxed)
data_Ce2ZnRu3
_space_group_name_H-M_alt 'P 63/m m c'
_space_group_IT_number 194
_space_group_name_Hall '-P 6c 2c'
_cell_length_a 5.4610
_cell_length_b 5.4610
_cell_length_c 8.4080
_cell_angle_alpha 90.00
_cell_angle_beta 90.00
_cell_angle_gamma 120.00
loop_
_atom_site_label
_atom_site_type_symbol
_atom_site_fract_x
_atom_site_fract_y
_atom_site_fract_z
Ce1 Ce 0.3333 0.6667 0.0783
Zn1 Zn 0.0000 0.0000 0.0000
Ru1 Ru 0.1700 0.3400 0.7500
# **Spin magnetization**: 0.5 μB per formula unit
# **VASP energy**: -7.10 eV/atom
# **N(E_F)**: 11.5 states/eV/f.u.
# **Crystal system**: hexagonal


No. 2
# Sc2AlNi2Rh5 (PBE, relaxed)
data_Sc2AlNi2Rh5
_space_group_name_H-M_alt 'P 4/m b m'
_space_group_IT_number 127
_space_group_name_Hall '-P 4 2ab'
_cell_length_a 8.9265
_cell_length_b 8.9265
_cell_length_c 3.7876
_cell_angle_alpha 90.00
_cell_angle_beta 90.00
_cell_angle_gamma 90.00
loop_
_atom_site_label
_atom_site_type_symbol
_atom_site_fract_x
_atom_site_fract_y
_atom_site_fract_z
Sc1 Sc 0.1695 0.3305 0.0000
Al1 Al 0.0000 0.0000 0.0000
Ni1 Ni 0.1279 0.6279 0.0000
Rh1 Rh 0.0000 0.5000 0.5000
Rh2 Rh 0.0731 0.7990 0.5000
# **Spin magnetization**: 0.0 μB per formula unit
# **VASP energy**: -7.03 eV/atom
# **N(E_F)**: 10.2 states/eV/f.u.
# **Crystal system**: tetragonal


no.,DFT formation energy (eV/atom)
1,-0.27
2,-0.56